# TbZrZnPd

A geometry-optimized TbZrZnPd structure (PBE-GGA, Alexandria).

Unit cell a=6.906 b=6.906 c=6.906 alpha=90.00 beta=90.00 gamma=90.00
Space group F-43m (No. 216)
Symmetry-distinct sites (fractional):
Tb  0.000  0.000  0.000 x4
Zr  0.000  0.000  0.500 x4
Zn  0.250  0.250  0.750 x4
Pd  0.250  0.250  0.250 x4

Results
As for the calculated total energy: -5.321 eV/atom. For the formation energy, the calculation gives -0.410 eV per atom.

=====

# Y5Ho

A geometry-optimized Y5Ho structure (PBE-GGA, Alexandria).

Unit cell a=5.037 b=15.141 c=5.034 alpha=90.00 beta=90.00 gamma=90.00
Space group Cmmm (No. 65)
Symmetry-distinct sites (fractional):
Y  0.000  0.000  0.000 x2
Y  0.000  0.166  0.500 x4
Y  0.000  0.334  0.000 x4
Ho  0.000  0.500  0.500 x2

Results
As for the calculated total energy: -6.126 eV/atom. For the formation energy, the calculation gives 0.024 eV per atom. The excess energy over the best structure of this formula in the dataset comes out at 0 meV per atom.

=====

# InHgTe2

A geometry-optimized InHgTe2 structure (PBE-GGA, Alexandria).

Unit cell a=3.185 b=6.145 c=6.246 alpha=90.00 beta=100.80 gamma=90.00
Space group P2/m (No. 10)
Symmetry-distinct sites (fractional):
In  0.000  0.000  0.000 x1
Hg  0.000  0.000  0.500 x1
Te  0.462  0.500  0.248 x2

Results
As for the calculated total energy: -2.329 eV/atom. The uncorrected formation energy comes out at 2 meV/atom.

=====

# CaNiRh3

A geometry-optimized CaNiRh3 structure (PBE-GGA, Alexandria).

Unit cell a=4.571 b=4.571 c=4.571 alpha=90.00 beta=90.00 gamma=90.00
Space group Pm-3m (No. 221)
Symmetry-distinct sites (fractional):
Ca  0.000  0.000  0.000 x1
Ni  0.500  0.500  0.500 x1
Rh  0.000  0.500  0.500 x3

Results
As for the calculated total energy: -5.514 eV/atom. For the formation energy, the calculation gives 0.453 eV per atom. The excess energy over the best structure of this formula in the dataset comes out at 0 meV per atom.

=====

# TeWC3

A geometry-optimized TeWC3 structure (PBE-GGA, Alexandria).

Unit cell a=4.059 b=4.059 c=4.059 alpha=90.00 beta=90.00 gamma=90.00
Space group Pm-3m (No. 221)
Symmetry-distinct sites (fractional):
Te  0.000  0.000  0.000 x1
W  0.500  0.500  0.500 x1
C  0.000  0.000  0.500 x3

Results
As for the calculated total energy: -5.474 eV/atom. The excess energy over the best structure of this formula in the dataset comes out at 1286 meV per atom. The uncorrected formation energy comes out at 3279 meV/atom.

=====

# CoCu2Si

A geometry-optimized CoCu2Si structure (PBE-GGA, Alexandria).

Unit cell a=4.832 b=7.394 c=2.641 alpha=90.00 beta=90.00 gamma=90.00
Space group Cmmm (No. 65)
Symmetry-distinct sites (fractional):
Co  0.000  0.000  0.000 x2
Cu  0.250  0.250  0.500 x4
Si  0.000  0.500  0.000 x2

Results
As for the calculated total energy: -5.143 eV/atom. The uncorrected formation energy comes out at 37 meV/atom.

=====

# Ac4SiH

A geometry-optimized Ac4SiH structure (PBE-GGA, Alexandria).

Unit cell a=4.076 b=6.971 c=7.313 alpha=90.22 beta=106.01 gamma=106.89
Space group P1 (No. 1)
Symmetry-distinct sites (fractional):
Ac  0.000  0.000  0.000 x1
Ac  0.135  0.619  0.654 x1
Ac  0.353  0.526  0.176 x1
Ac  0.782  0.093  0.478 x1
Si  0.567  0.309  0.827 x1
H  0.066  0.809  0.327 x1

Results
As for the calculated total energy: -4.428 eV/atom.

=====

# Ce12PuGe6

A geometry-optimized Ce12PuGe6 structure (PBE-GGA, Alexandria).

Unit cell a=13.9308 b=13.9308 c=8.6297 alpha=90.00 beta=90.00 gamma=120.00
Space group R-3 (No. 148, hexagonal axes)
Symmetry-distinct sites (fractional):
Ce  0.0185  0.2434  0.4068 x18
Ce  0.0189  0.7847  0.9080 x18
Pu  0.0000  0.0000  0.5000 x3
Ge  0.0013  0.1703  0.7434 x18

Results
As for the calculated total energy: -6.400 eV/atom. For the formation energy, the calculation gives -0.440 eV per atom. The excess energy over the best structure of this formula in the dataset comes out at 0 meV per atom.

=====

# HoBiTe3

A geometry-optimized HoBiTe3 structure (PBE-GGA, Alexandria).

Unit cell a=7.866 b=4.405 c=12.280 alpha=90.00 beta=105.33 gamma=90.00
Space group P2_1/m (No. 11)
Symmetry-distinct sites (fractional):
Ho  0.235  0.250  0.443 x2
Bi  0.369  0.250  0.850 x2
Te  0.050  0.250  0.638 x2
Te  0.242  0.750  0.976 x2
Te  0.437  0.750  0.354 x2

Results
As for the calculated total energy: -4.274 eV/atom. The excess energy over the best structure of this formula in the dataset comes out at 100 meV per atom. The uncorrected formation energy comes out at -698 meV/atom.

=====

# CrPPt2Br

A geometry-optimized CrPPt2Br structure (PBE-GGA, Alexandria).

Unit cell a=4.534 b=4.534 c=4.829 alpha=90.00 beta=90.00 gamma=90.00
Space group P4/mmm (No. 123)
Symmetry-distinct sites (fractional):
Cr  0.000  0.000  0.000 x1
P  0.000  0.000  0.500 x1
Pt  0.000  0.500  0.500 x2
Br  0.500  0.500  0.000 x1

Results
As for the calculated total energy: -5.448 eV/atom. The excess energy over the best structure of this formula in the dataset comes out at 0 meV per atom. The uncorrected formation energy comes out at 310 meV/atom.

=====

# Dy5Tl

A geometry-optimized Dy5Tl structure (PBE-GGA, Alexandria).

Unit cell a=12.710 b=3.563 c=8.260 alpha=90.00 beta=104.86 gamma=90.00
Space group Cm (No. 8)
Symmetry-distinct sites (fractional):
Dy  0.000  0.000  0.000 x2
Dy  0.029  0.000  0.610 x2
Dy  0.143  0.500  0.342 x2
Dy  0.311  0.000  0.683 x2
Dy  0.363  0.000  0.259 x2
Tl  0.209  0.500  0.946 x2

Results
As for the calculated total energy: -4.334 eV/atom. For the formation energy, the calculation gives -0.104 eV per atom. The excess energy over the best structure of this formula in the dataset comes out at 3 meV per atom.

=====

# Ho2AgPd8

A geometry-optimized Ho2AgPd8 structure (PBE-GGA, Alexandria).

Unit cell a=14.572 b=4.219 c=6.534 alpha=90.00 beta=107.55 gamma=90.00
Space group C2/m (No. 12)
Symmetry-distinct sites (fractional):
Ho  0.216  0.000  0.166 x4
Ag  0.000  0.500  0.500 x2
Pd  0.036  0.000  0.223 x4
Pd  0.092  0.500  0.946 x4
Pd  0.143  0.000  0.683 x4
Pd  0.171  0.500  0.401 x4

Results
As for the calculated total energy: -5.396 eV/atom. For the formation energy, the calculation gives -0.527 eV per atom.

=====

# K2ZnInO4

A geometry-optimized K2ZnInO4 structure (PBE-GGA, Alexandria).

Unit cell a=6.673 b=6.673 c=5.961 alpha=90.00 beta=90.00 gamma=90.00
Space group I-42m (No. 121)
Symmetry-distinct sites (fractional):
K  0.000  0.500  0.000 x4
Zn  0.000  0.000  0.000 x2
In  0.000  0.000  0.500 x2
O  0.148  0.148  0.763 x8

Results
As for the calculated total energy: -4.428 eV/atom. The uncorrected formation energy comes out at -1173 meV/atom.

=====

# NaCd4InHg2

A geometry-optimized NaCd4InHg2 structure (PBE-GGA, Alexandria).

Unit cell a=4.547 b=4.547 c=10.559 alpha=90.00 beta=90.00 gamma=90.00
Space group P4/mmm (No. 123)
Symmetry-distinct sites (fractional):
Na  0.000  0.000  0.000 x1
Cd  0.000  0.500  0.312 x4
In  0.000  0.000  0.500 x1
Hg  0.500  0.500  0.133 x2

Results
As for the calculated total energy: -1.051 eV/atom. For the formation energy, the calculation gives -0.011 eV per atom.

=====

# ThNpIn4

A geometry-optimized ThNpIn4 structure (PBE-GGA, Alexandria).

Unit cell a=8.539 b=8.539 c=8.539 alpha=90.00 beta=90.00 gamma=90.00
Space group F-43m (No. 216)
Symmetry-distinct sites (fractional):
Th  0.000  0.000  0.000 x4
Np  0.250  0.250  0.250 x4
In  0.125  0.125  0.625 x16

Results
As for the calculated total energy: -5.248 eV/atom. For the formation energy, the calculation gives -0.029 eV per atom.

=====

# KTaRu

A geometry-optimized KTaRu structure (PBE-GGA, Alexandria).

Unit cell a=3.3688 b=3.3688 c=7.7690 alpha=90.00 beta=90.00 gamma=120.00
Space group P3m1 (No. 156)
Symmetry-distinct sites (fractional):
K  0.0000  0.0000  0.0000 x1
Ta  0.3333  0.6667  0.5639 x1
Ru  0.6667  0.3333  0.3727 x1

Results
As for the calculated total energy: -6.769 eV/atom. For the formation energy, the calculation gives 0.640 eV per atom. The excess energy over the best structure of this formula in the dataset comes out at 81 meV per atom.

=====

# SbTe2Br

A geometry-optimized SbTe2Br structure (PBE-GGA, Alexandria).

Unit cell a=8.099 b=8.099 c=8.637 alpha=90.00 beta=90.00 gamma=90.00
Space group I-42d (No. 122)
Symmetry-distinct sites (fractional):
Sb  0.000  0.000  0.000 x4
Te  0.216  0.250  0.125 x8
Br  0.000  0.000  0.500 x4

Results
As for the calculated total energy: -2.925 eV/atom. The excess energy over the best structure of this formula in the dataset comes out at 271 meV per atom. The uncorrected formation energy comes out at 95 meV/atom.

=====

# Sc3InGa2

A geometry-optimized Sc3InGa2 structure (PBE-GGA, Alexandria).

Unit cell a=3.263 b=3.263 c=11.340 alpha=90.00 beta=90.00 gamma=90.00
Space group P4/mmm (No. 123)
Symmetry-distinct sites (fractional):
Sc  0.000  0.000  0.000 x1
Sc  0.000  0.000  0.317 x2
In  0.500  0.500  0.500 x1
Ga  0.500  0.500  0.159 x2

Results
As for the calculated total energy: -5.163 eV/atom. For the formation energy, the calculation gives -0.532 eV per atom.

=====

# BaSrCu2Si

A geometry-optimized BaSrCu2Si structure (PBE-GGA, Alexandria).

Unit cell a=4.744 b=4.744 c=5.732 alpha=90.00 beta=90.00 gamma=90.00
Space group P4/mmm (No. 123)
Symmetry-distinct sites (fractional):
Ba  0.000  0.000  0.000 x1
Sr  0.500  0.500  0.000 x1
Cu  0.000  0.500  0.500 x2
Si  0.500  0.500  0.500 x1

Results
As for the calculated total energy: -3.229 eV/atom. The uncorrected formation energy comes out at 215 meV/atom.

=====

# CaSnRh2C

A geometry-optimized CaSnRh2C structure (PBE-GGA, Alexandria).

Unit cell a=4.166 b=4.166 c=4.979 alpha=90.00 beta=90.00 gamma=90.00
Space group P4/mmm (No. 123)
Symmetry-distinct sites (fractional):
Ca  0.000  0.000  0.000 x1
Sn  0.500  0.500  0.000 x1
Rh  0.000  0.500  0.500 x2
C  0.500  0.500  0.500 x1

Results
As for the calculated total energy: -5.876 eV/atom. For the formation energy, the calculation gives 0.110 eV per atom.